A relaxed structure of YCrSb2, computed with PBE.

Lattice parameters (Å, degrees): 6.093 6.093 8.499 68.99 68.99 90.00
Fractional positions:
Y: 0.000 0.000 0.000
Y: 0.750 0.250 0.500
Sb: 0.567 0.125 0.250
Sb: 0.183 0.625 0.250
Sb: 0.375 0.433 0.750
Sb: 0.875 0.817 0.750
Cr: 0.500 0.500 0.000
Cr: 0.250 0.750 0.500

E above lowest polymorph = 0.487 eV/atom
ΔE_f (raw) = 54 meV/atom
DFT total energy = -0.443 Ry per atom

=====

A relaxed structure of YCrSb2, computed with PBE.

Lattice parameters (Å, degrees): 6.041 6.041 6.041 138.48 138.48 60.17
Fractional positions:
Cr: 0.750 0.250 0.500
Sb: 0.000 0.000 0.000
Sb: 0.250 0.750 0.500
Y: 0.500 0.500 0.000

E above lowest polymorph = 0.155 eV/atom
ΔE_f (raw) = -278 meV/atom
DFT total energy = -0.468 Ry per atom

=====

Please write out number 1 again, unchanged.
A relaxed structure of YCrSb2, computed with PBE.

Lattice parameters (Å, degrees): 6.093 6.093 8.499 68.99 68.99 90.00
Fractional positions:
Y: 0.000 0.000 0.000
Y: 0.750 0.250 0.500
Sb: 0.567 0.125 0.250
Sb: 0.183 0.625 0.250
Sb: 0.375 0.433 0.750
Sb: 0.875 0.817 0.750
Cr: 0.500 0.500 0.000
Cr: 0.250 0.750 0.500

E above lowest polymorph = 0.487 eV/atom
ΔE_f (raw) = 54 meV/atom
DFT total energy = -0.443 Ry per atom